A plane-wave DFT calculation with PBE was carried out for a geometry-optimized CaCeH8Pt2 structure.

The structure in CIF format:
```
data_CaCeH8Pt2
_chemical_formula_sum 'Ca3 Ce3 H24 Pt6'
_cell_length_a 4.6904
_cell_length_b 4.6904
_cell_length_c 19.9447
_cell_angle_alpha 90.00
_cell_angle_beta 90.00
_cell_angle_gamma 120.00
_symmetry_space_group_name_H-M 'R -3 m'
_symmetry_Int_Tables_number 166
_symmetry_space_group_name_Hall '-R 3 2"'
loop_
_atom_site_label
_atom_site_type_symbol
_atom_site_fract_x
_atom_site_fract_y
_atom_site_fract_z
_atom_site_occupancy
Ca1 Ca 0.0000 0.0000 0.0000 1
Ce1 Ce 0.0000 0.0000 0.5000 1
H1 H 0.0000 0.0000 0.1550 1
H2 H 0.0506 0.5253 0.0598 1
Pt1 Pt 0.0000 0.0000 0.2401 1
```

- DFT total energy (eV/atom) = -4.198
- mass density (Mg/m³) = 7.58

=====

A plane-wave DFT calculation with PBE was carried out for a geometry-optimized K2YMo structure.

The structure in CIF format:
```
data_K2YMo
_chemical_formula_sum 'K4 Y2 Mo2'
_cell_length_a 9.867
_cell_length_b 3.188
_cell_length_c 10.114
_cell_angle_alpha 90.00
_cell_angle_beta 92.56
_cell_angle_gamma 90.00
_symmetry_space_group_name_H-M 'C 1 m 1'
_symmetry_Int_Tables_number 8
loop_
_symmetry_equiv_pos_as_xyz
'x,y,z'
'x,-y,z'
'x+1/2,y+1/2,z'
'x+1/2,-y+1/2,z'
loop_
_atom_site_label
_atom_site_type_symbol
_atom_site_fract_x
_atom_site_fract_y
_atom_site_fract_z
_atom_site_occupancy
K1 K 0.000 0.000 0.000 1
K2 K 0.233 0.000 0.616 1
Y1 Y 0.262 0.500 0.276 1
Mo1 Mo 0.492 0.000 0.347 1
```

- energy above the most stable polymorph in this dataset (eV/f.u.) = 0.71
- DFT total energy (eV/atom) = -3.913
- energy relative to the elements (kJ/mol of formula units) = 370
- mass density (Mg/m³) = 2.75

=====

Calculated volume (Å³/f.u.), listed in the same order as above: 126.66; 158.94